# NdMoO3

A geometry-optimized NdMoO3 structure (PBE with a Hubbard U, Alexandria via LeMat-Bulk).

```
10
Lattice="6.068 0.000 0.000 0.000 4.130 0.000 -1.306 0.000 6.254" Properties=species:S:1:pos:R:3 pbc="T T T"
Nd -0.165 1.033 1.589
Nd 4.927 3.098 4.665
Mo 2.622 3.098 1.893
Mo 2.140 1.033 4.361
O 0.038 1.033 4.006
O 1.028 3.098 0.612
O 2.234 1.033 2.196
O 2.528 3.098 4.058
O 3.734 1.033 5.642
O 4.724 3.098 2.247
```

Output
The calculated total energy comes out at -7.710 eV/atom. The calculation puts the volume at 15.7 Å³/atom. The calculation puts the calculated density at 6.106 Mg/m³.